RbSmNiSe3 PBE relaxed; calculated total energy = -114.10 eV/cell
1.0
-2.175 -1.446 -3.475
5.419 -11.426 1.363
-8.612 -3.279 6.754
Rb Se Ni Sm
4 12 4 4
Cartesian
-3.119 -11.350 6.675
1.548 -9.790 0.386
-5.430 -5.795 3.091
-1.560 -3.920 2.607
-3.299 -1.972 0.167
-0.467 -4.565 -0.527
-6.523 -5.150 6.225
-4.443 -2.515 3.827
-3.691 -7.743 5.531
1.060 -10.419 3.672
-2.547 -7.200 1.871
-2.631 -10.722 3.389
0.942 -6.792 2.237
-6.191 -10.234 5.414
-2.513 -14.348 4.825
4.620 -10.907 1.647
2.958 -11.835 3.074
-4.529 -9.306 3.988
-6.343 -2.943 5.194
-0.647 -6.772 0.504
-0.686 -1.763 -1.556
-6.304 -7.952 7.254
-1.039 -8.333 4.118
-0.532 -12.808 2.943

Pr2NdTm3OsSe2 PBE relaxed; calculated total energy = -53.57 eV/cell
1.0
-1.055 -2.931 2.563
4.588 3.432 5.812
-7.842 2.108 -0.817
Tm Se Pr Nd Os
3 2 2 1 1
Cartesian
-7.269 1.455 1.846
2.192 2.463 6.892
-3.013 2.766 5.097
-4.210 1.082 2.679
-0.095 1.521 4.874
-4.623 1.243 -0.482
2.705 2.023 3.426
-1.325 2.255 2.033
-0.015 0.026 0.023

CsNiTe PBE relaxed; ΔE to the lowest computed polymorph = 0 meV per atom; calculated total energy = -8.84 eV/cell
1.0
0.000 3.652 3.652
3.652 0.000 3.652
3.652 3.652 0.000
Te Ni Cs
1 1 1
Cartesian
5.479 5.479 5.479
0.000 0.000 0.000
1.826 1.826 1.826

BeCoSiW PBE relaxed; ΔE to the lowest computed polymorph = 176 meV per atom; calculated total energy = -28.39 eV/cell
1.0
2.067 -1.985 2.866
-0.804 -3.902 0.744
2.680 -2.856 -1.045
W Si Be Co
1 1 1 1
Cartesian
1.972 -4.372 1.283
0.000 0.000 0.000
0.986 -2.186 0.641
2.957 -6.557 1.924